A geometry-optimized Ba2ReTc structure. Source: the Alexandria database, functional PBE-GGA.

ΔH_f (0 K) (eV per atom): 1.720
Symmetry: R-3m, No. 166
Excess energy over the best structure of this formula in the dataset (kJ per mole of atoms): 129.7
Density (g/cm³): 9.454

POSCAR file:
```
Ba2ReTc
1.0
-1.082 9.480 6.421
-2.302 7.419 8.481
0.824 7.863 8.353
Ba Re Tc
2 1 1
direct
0.001 0.001 0.001
0.499 0.499 0.499
0.250 0.250 0.250
0.750 0.750 0.750
```